(1)
First-principles (PBE) data for Ta2TeW after structural relaxation, as listed in Alexandria via LeMat-Bulk.

Results
V (Å³ per cell): 73.8
Electronic total energy (eV/atom): -9.65
ΔE_f (raw) (meV/atom): 299
Crystal system: orthorhombic
Total magnetization (μB/atom): 0.000

Lattice parameters (Å, degrees): 4.7921 6.7562 3.3163 60.68 89.95 122.38
Last column: nearest neighbours and their distance in Å.
Element x y z (fractional)
Ta (0.0000, 0.0000, 0.0000)  4 W 2.91-2.92, 4 Te 2.91-2.92, 2 Ta 2.95
Te (0.5000, 0.5000, 0.0000)  8 Ta 2.91-2.92, 2 W 2.95
W (0.5000, 0.0000, 0.5000)  8 Ta 2.91-2.92, 2 Te 2.95
Ta (0.0000, 0.5000, 0.5000)  4 Te 2.91-2.92, 4 W 2.91-2.92, 2 Ta 2.95

=====

(2)
First-principles (PBE) data for TaTe2W after structural relaxation, as listed in Alexandria via LeMat-Bulk.

Results
V (Å³ per cell): 88.3
Electronic total energy (eV/atom): -7.15
Energy above the most stable polymorph in this dataset (eV per atom): 0.6787
ΔE_f (raw) (meV/atom): 627
Crystal system: trigonal
Total magnetization (μB/atom): 0.000

Lattice parameters (Å, degrees): 9.6520 9.6520 9.6520 19.58 19.58 19.58
Last column: nearest neighbours and their distance in Å.
Element x y z (fractional)
Te (0.0973, 0.0973, 0.0973)  3 W 2.73, 1 Ta 2.76
Te (0.9027, 0.9027, 0.9027)  3 W 2.73, 1 Ta 2.76
W (0.5000, 0.5000, 0.5000)  6 Te 2.73
Ta (0.0000, 0.0000, 0.0000)  2 Te 2.76

=====

(3)
First-principles (PBE) data for Ta2TeW after structural relaxation, as listed in Alexandria via LeMat-Bulk.

Results
V (Å³ per cell): 75.8
Electronic total energy (eV/atom): -9.62
ΔE_f (raw) (meV/atom): 334
Crystal system: monoclinic
Total magnetization (μB/atom): 0.000

Lattice parameters (Å, degrees): 4.7251 3.1030 5.3307 75.84 90.00 90.00
Last column: nearest neighbours and their distance in Å.
Element x y z (fractional)
W (0.5000, 0.6777, 0.7750)  4 Ta 2.61-2.87, 2 Te 2.77
Ta (0.5000, 0.1827, 0.2473)  2 W 2.61-2.87
Ta (0.0000, 0.9731, 0.9735)  3 Te 2.76-2.89, 2 W 2.83, 2 Ta 2.93
Te (0.0000, 0.6665, 0.5042)  5 Ta 2.76-2.99, 2 W 2.77

=====

(4)
First-principles (PBE) data for TaTe2W after structural relaxation, as listed in Alexandria via LeMat-Bulk.

Results
V (Å³ per cell): 83.1
Electronic total energy (eV/atom): -6.84
Energy above the most stable polymorph in this dataset (eV per atom): 0.9885
ΔE_f (raw) (meV/atom): 937
Crystal system: orthorhombic
Total magnetization (μB/atom): 0.000

Lattice parameters (Å, degrees): 3.2003 3.2003 9.0830 90.00 90.00 116.65
Last column: nearest neighbours and their distance in Å.
Element x y z (fractional)
Te (0.0000, 0.0000, 0.4952)  2 W 2.79, 2 Ta 2.86
Ta (0.5000, 0.5000, 0.7500)  4 Te 2.86, 4 Ta 3.20
Te (0.0000, 0.0000, 0.0048)  2 W 2.79, 2 Ta 2.86
W (0.5000, 0.5000, 0.2500)  4 Te 2.79

=====

(5)
First-principles (PBE) data for Ta2TeW after structural relaxation, as listed in Alexandria via LeMat-Bulk.

Results
V (Å³ per cell): 78.3
Electronic total energy (eV/atom): -9.61
ΔE_f (raw) (meV/atom): 344
Crystal system: trigonal
Total magnetization (μB/atom): 0.000

Lattice parameters (Å, degrees): 8.6438 8.6438 8.6438 21.83 21.83 21.83
Last column: nearest neighbours and their distance in Å.
Element x y z (fractional)
W (0.7500, 0.7500, 0.7500)  6 Ta 2.72
Ta (0.4939, 0.4939, 0.4939)  3 W 2.72, 3 Te 2.95
Te (0.2500, 0.2500, 0.2500)  6 Ta 2.95, 6 Te 3.27
Ta (0.0061, 0.0061, 0.0061)  3 W 2.72, 3 Te 2.95

=====

(6)
First-principles (PBE) data for TaTe2W after structural relaxation, as listed in Alexandria via LeMat-Bulk.

Results
V (Å³ per cell): 100.3
Electronic total energy (eV/atom): -7.66
Energy above the most stable polymorph in this dataset (eV per atom): 0.1624
ΔE_f (raw) (meV/atom): 111
Crystal system: trigonal
Total magnetization (μB/atom): 0.000

Lattice parameters (Å, degrees): 10.1163 10.1163 10.1163 19.45 19.45 19.45
Last column: nearest neighbours and their distance in Å.
Element x y z (fractional)
W (0.4912, 0.4912, 0.4912)  3 Ta 2.76, 3 Te 2.79
Ta (0.7598, 0.7598, 0.7598)  3 W 2.76, 3 Te 2.83
Te (0.2241, 0.2241, 0.2241)  3 W 2.79
Te (0.0249, 0.0249, 0.0249)  3 Ta 2.83

=====

(7)
First-principles (PBE) data for TaTe2W after structural relaxation, as listed in Alexandria via LeMat-Bulk.

Results
V (Å³ per cell): 80.3
Electronic total energy (eV/atom): -7.21
Energy above the most stable polymorph in this dataset (eV per atom): 0.6140
ΔE_f (raw) (meV/atom): 562
Crystal system: trigonal
Total magnetization (μB/atom): 0.000

Lattice parameters (Å, degrees): 8.8733 8.8733 8.8733 21.24 21.24 21.24
Last column: nearest neighbours and their distance in Å.
Element x y z (fractional)
W (0.2500, 0.2500, 0.2500)  6 Te 2.82
Te (0.9974, 0.9974, 0.9974)  3 W 2.82, 3 Ta 2.93
Ta (0.7500, 0.7500, 0.7500)  6 Te 2.93, 6 Ta 3.27
Te (0.5026, 0.5026, 0.5026)  3 W 2.82, 3 Ta 2.93

=====

(8)
First-principles (PBE) data for TaTe2W after structural relaxation, as listed in Alexandria via LeMat-Bulk.

Results
V (Å³ per cell): 83.5
Electronic total energy (eV/atom): -7.39
Energy above the most stable polymorph in this dataset (eV per atom): 0.4339
ΔE_f (raw) (meV/atom): 382
Crystal system: monoclinic
Total magnetization (μB/atom): 0.000

Lattice parameters (Å, degrees): 5.2461 5.2461 5.4754 67.59 67.59 37.22
Last column: nearest neighbours and their distance in Å.
Element x y z (fractional)
Te (0.7770, 0.7770, 0.6955)  3 W 2.80-2.85, 2 Ta 3.01
W (0.5265, 0.5265, 0.5814)  2 Ta 2.80, 5 Te 2.80-2.89
Ta (0.2185, 0.2185, 0.1837)  2 W 2.80, 5 Te 2.80-3.01
Te (0.9780, 0.9780, 0.0394)  3 Ta 2.80-2.91, 2 W 2.89

=====

Table of Fermi-level density of states (states/eV per atom), in record order: 0.574 0.722 0.511 1.043 0.945 0.727 1.089 0.484